Entry from Alexandria: a geometry-optimized SrSb4P structure (PBE).

Lattice parameters (Å, degrees): 6.243 6.243 6.243 60.00 60.00 60.00
Positions (direct):
1 Sr 0.750 0.750 0.750
2 Sb 0.374 0.878 0.374
3 Sb 0.878 0.374 0.374
4 Sb 0.374 0.374 0.878
5 Sb 0.374 0.374 0.374
6 P 0.000 0.000 0.000

Computed properties:
crystal system = cubic
formation energy (no corrections) = 0.09 eV/atom
mass density = 5844 kg/m3